Density functional theory data (PBE with a Hubbard U) for BaInCo4O7 after structural relaxation.

Unit cell a=6.2188 b=6.2188 c=10.1668 alpha=90.00 beta=90.00 gamma=120.00
Space group P6_3mc (No. 186)
One atom of each set of equivalent atoms:
Ba  0.3333  0.6667  0.0000
In  0.3333  0.6667  0.3772
Co  0.0000  0.0000  0.4395
Co  0.1705  0.3410  0.6878
O  0.0000  0.0000  0.2484
O  0.0029  0.5014  0.2553
O  0.1682  0.3365  0.5002

M_tot = 6.15 μB/f.u.
total DFT energy (no corrections) = -77.64 eV per formula unit